No. 1
First-principles (PBE) data for a geometry-optimized SrTmZnPd structure, as listed in Alexandria.

- DOS at the Fermi energy: 3.41 states/eV per cell
- Formation energy: -0.389 eV/atom

a b c (Å): 5.132 5.132 5.132
angles (deg): 60.00 60.00 60.00
Sites, in units of the cell vectors:
Tm 0.000 0.000 0.000
Sr 0.500 0.500 0.500
Pd 0.250 0.250 0.250
Zn 0.750 0.750 0.750

---

No. 2
First-principles (PBE) data for a geometry-optimized SrTmZn2Pd2 structure, as listed in Alexandria.

- DOS at the Fermi energy: 3.89 states/eV per cell
- Formation energy: -0.647 eV/atom

a b c (Å): 4.509 4.509 7.551
angles (deg): 90.00 90.00 120.00
Sites, in units of the cell vectors:
Zn 0.333 0.667 0.293
Zn 0.667 0.333 0.707
Pd 0.667 0.333 0.312
Pd 0.333 0.667 0.688
Sr 0.000 0.000 0.000
Tm 0.000 0.000 0.500

---

No. 3
First-principles (PBE) data for a geometry-optimized Sr2TmZn3Pd4 structure, as listed in Alexandria.

- DOS at the Fermi energy: 5.37 states/eV per cell
- Formation energy: -0.608 eV/atom

a b c (Å): 4.327 4.327 11.523
angles (deg): 90.00 90.00 90.00
Sites, in units of the cell vectors:
Zn 0.000 0.500 0.122
Zn 0.000 0.000 0.500
Zn 0.500 0.000 0.878
Sr 0.000 0.500 0.774
Sr 0.500 0.000 0.226
Tm 0.500 0.500 0.500
Pd 0.500 0.000 0.650
Pd 0.000 0.500 0.350
Pd 0.000 0.000 0.000
Pd 0.500 0.500 0.000

---

No. 4
First-principles (PBE) data for a geometry-optimized SrUPd2 structure, as listed in Alexandria.

- DOS at the Fermi energy: 7.86 states/eV per cell
- Formation energy: -0.313 eV/atom

a b c (Å): 3.547 3.547 7.618
angles (deg): 90.00 90.00 90.00
Sites, in units of the cell vectors:
U 0.500 0.500 0.000
Sr 0.500 0.500 0.500
Pd 0.000 0.000 0.203
Pd 0.000 0.000 0.797

---

No. 5
First-principles (PBE) data for a geometry-optimized SrV2Pd structure, as listed in Alexandria.

- DOS at the Fermi energy: 8.75 states/eV per cell
- Formation energy: 0.798 eV/atom

a b c (Å): 4.838 4.838 4.838
angles (deg): 60.00 60.00 60.00
Sites, in units of the cell vectors:
V 0.250 0.250 0.250
V 0.750 0.750 0.750
Pd 0.500 0.500 0.500
Sr 0.000 0.000 0.000

---

No. 6
First-principles (PBE) data for a geometry-optimized SrVPd2 structure, as listed in Alexandria.

- DOS at the Fermi energy: 7.75 states/eV per cell
- Formation energy: 0.173 eV/atom

a b c (Å): 5.167 5.167 8.940
angles (deg): 73.20 73.20 90.00
Sites, in units of the cell vectors:
V 0.500 0.500 0.000
V 0.250 0.750 0.500
Pd 0.327 0.625 0.250
Pd 0.875 0.673 0.750
Pd 0.375 0.577 0.750
Pd 0.423 0.125 0.250
Sr 0.000 0.000 0.000
Sr 0.750 0.250 0.500

---

No. 7
First-principles (PBE) data for a geometry-optimized Sr2VPd structure, as listed in Alexandria.

- DOS at the Fermi energy: 1.98 states/eV per cell
- Formation energy: 0.271 eV/atom

a b c (Å): 5.419 5.419 5.419
angles (deg): 60.00 60.00 60.00
Sites, in units of the cell vectors:
Pd 0.500 0.500 0.500
V 0.000 0.000 0.000
Sr 0.750 0.750 0.750
Sr 0.250 0.250 0.250

---

No. 8
First-principles (PBE) data for a geometry-optimized SrV2Pd structure, as listed in Alexandria.

- DOS at the Fermi energy: 10.11 states/eV per cell
- Formation energy: 0.651 eV/atom

a b c (Å): 4.321 4.321 10.374
angles (deg): 77.98 77.98 90.00
Sites, in units of the cell vectors:
V 0.856 0.625 0.250
V 0.375 0.106 0.750
V 0.894 0.125 0.250
V 0.875 0.144 0.750
Pd 0.750 0.250 0.500
Pd 0.000 0.000 0.000
Sr 0.500 0.500 0.000
Sr 0.250 0.750 0.500

---

No. 9
First-principles (PBE) data for a geometry-optimized SrV3Pd structure, as listed in Alexandria.

- DOS at the Fermi energy: 8.79 states/eV per cell
- Formation energy: 0.978 eV/atom

a b c (Å): 4.934 4.934 4.934
angles (deg): 90.00 90.00 90.00
Sites, in units of the cell vectors:
V 0.500 0.000 0.000
V 0.000 0.000 0.500
V 0.000 0.500 0.000
Sr 0.500 0.500 0.500
Pd 0.000 0.000 0.000

---

No. 10
First-principles (PBE) data for a geometry-optimized Sr2VPd2 structure, as listed in Alexandria.

- DOS at the Fermi energy: 7.89 states/eV per cell
- Formation energy: -0.116 eV/atom

a b c (Å): 7.272 7.272 4.711
angles (deg): 90.00 90.00 90.00
Sites, in units of the cell vectors:
Pd 0.635 0.135 0.000
Pd 0.365 0.865 0.000
Pd 0.865 0.635 0.000
Pd 0.135 0.365 0.000
V 0.000 0.000 0.000
V 0.500 0.500 0.000
Sr 0.827 0.327 0.500
Sr 0.173 0.673 0.500
Sr 0.673 0.827 0.500
Sr 0.327 0.173 0.500

---

No. 11
First-principles (PBE) data for a geometry-optimized SrVPd2 structure, as listed in Alexandria.

- DOS at the Fermi energy: 5.26 states/eV per cell
- Formation energy: 0.373 eV/atom

a b c (Å): 3.275 3.275 9.492
angles (deg): 80.07 80.07 60.00
Sites, in units of the cell vectors:
Pd 0.107 0.107 0.679
Pd 0.893 0.893 0.321
Sr 0.000 0.000 0.000
V 0.500 0.500 0.500

---

No. 12
First-principles (PBE) data for a geometry-optimized SrVPd2 structure, as listed in Alexandria.

- DOS at the Fermi energy: 4.50 states/eV per cell
- Formation energy: 0.038 eV/atom

a b c (Å): 4.851 4.851 4.851
angles (deg): 60.00 60.00 60.00
Sites, in units of the cell vectors:
V 0.000 0.000 0.000
Pd 0.750 0.750 0.750
Pd 0.250 0.250 0.250
Sr 0.500 0.500 0.500

---

No. 13
First-principles (PBE) data for a geometry-optimized Sr2VPd structure, as listed in Alexandria.

- DOS at the Fermi energy: 11.96 states/eV per cell
- Formation energy: 0.478 eV/atom

a b c (Å): 8.577 8.577 6.921
angles (deg): 51.71 51.71 90.00
Sites, in units of the cell vectors:
Sr 0.667 0.125 0.250
Sr 0.875 0.917 0.750
Sr 0.083 0.625 0.250
Sr 0.375 0.333 0.750
Pd 0.750 0.250 0.500
Pd 0.000 0.000 0.000
V 0.250 0.750 0.500
V 0.500 0.500 0.000

---

No. 14
First-principles (PBE) data for a geometry-optimized Sr3VPd structure, as listed in Alexandria.

- DOS at the Fermi energy: 6.09 states/eV per cell
- Formation energy: 0.311 eV/atom

a b c (Å): 5.858 5.858 5.858
angles (deg): 90.00 90.00 90.00
Sites, in units of the cell vectors:
Sr 0.000 0.000 0.500
Sr 0.500 0.000 0.000
Sr 0.000 0.500 0.000
V 0.500 0.500 0.500
Pd 0.000 0.000 0.000

---

No. 15
First-principles (PBE) data for a geometry-optimized SrV3Pd structure, as listed in Alexandria.

- DOS at the Fermi energy: 8.78 states/eV per cell
- Formation energy: 2.353 eV/atom

a b c (Å): 4.483 4.483 4.483
angles (deg): 90.00 90.00 90.00
Sites, in units of the cell vectors:
Pd 0.500 0.500 0.500
V 0.500 0.000 0.000
V 0.000 0.500 0.000
V 0.000 0.000 0.500
Sr 0.000 0.000 0.000

---

No. 16
First-principles (PBE) data for a geometry-optimized SrPdW3 structure, as listed in Alexandria.

- DOS at the Fermi energy: 6.22 states/eV per cell
- Formation energy: 2.060 eV/atom

a b c (Å): 4.894 4.894 4.894
angles (deg): 90.00 90.00 90.00
Sites, in units of the cell vectors:
Sr 0.500 0.500 0.500
W 0.500 0.000 0.000
W 0.000 0.500 0.000
W 0.000 0.000 0.500
Pd 0.000 0.000 0.000

---

No. 17
First-principles (PBE) data for a geometry-optimized SrPd3W structure, as listed in Alexandria.

- DOS at the Fermi energy: 20.81 states/eV per cell
- Formation energy: 2.039 eV/atom

a b c (Å): 4.942 4.942 4.942
angles (deg): 90.00 90.00 90.00
Sites, in units of the cell vectors:
Pd 0.500 0.000 0.000
Pd 0.000 0.000 0.500
Pd 0.000 0.500 0.000
Sr 0.000 0.000 0.000
W 0.500 0.500 0.500

---

No. 18
First-principles (PBE) data for a geometry-optimized Sr2PdW structure, as listed in Alexandria.

- DOS at the Fermi energy: 5.06 states/eV per cell
- Formation energy: 1.013 eV/atom

a b c (Å): 8.521 8.521 6.799
angles (deg): 51.19 51.19 90.00
Sites, in units of the cell vectors:
Pd 0.250 0.750 0.500
Pd 0.500 0.500 0.000
Sr 0.586 0.125 0.250
Sr 0.875 0.836 0.750
Sr 0.375 0.414 0.750
Sr 0.164 0.625 0.250
W 0.000 0.000 0.000
W 0.750 0.250 0.500

---

No. 19
First-principles (PBE) data for a geometry-optimized SrPdW2 structure, as listed in Alexandria.

- DOS at the Fermi energy: 4.21 states/eV per cell
- Formation energy: 1.446 eV/atom

a b c (Å): 4.694 4.694 4.694
angles (deg): 60.00 60.00 60.00
Sites, in units of the cell vectors:
Pd 0.500 0.500 0.500
W 0.750 0.750 0.750
W 0.250 0.250 0.250
Sr 0.000 0.000 0.000

---

No. 20
First-principles (PBE) data for a geometry-optimized SrPdW2 structure, as listed in Alexandria.

- DOS at the Fermi energy: 7.72 states/eV per cell
- Formation energy: 1.174 eV/atom

a b c (Å): 4.779 4.779 10.025
angles (deg): 76.21 76.21 90.00
Sites, in units of the cell vectors:
Pd 0.750 0.250 0.500
Pd 0.000 0.000 0.000
Sr 0.250 0.750 0.500
Sr 0.500 0.500 0.000
W 0.890 0.625 0.250
W 0.375 0.140 0.750
W 0.860 0.125 0.250
W 0.875 0.110 0.750

---

Number 1: M_tot 0.0 μB/cell. Number 2: M_tot 0.0 μB/cell. Number 3: M_tot 0.0 μB/cell. Number 4: M_tot 2.5 μB/cell. Number 5: M_tot 6.2 μB/cell. Number 6: M_tot 5.0 μB/cell. Number 7: M_tot 4.8 μB/cell. Number 8: M_tot 1.2 μB/cell. Number 9: M_tot 8.0 μB/cell. Number 10: M_tot 6.4 μB/cell. Number 11: M_tot 0.0 μB/cell. Number 12: M_tot 2.8 μB/cell. Number 13: M_tot 8.9 μB/cell. Number 14: M_tot 4.4 μB/cell. Number 15: M_tot 0.0 μB/cell. Number 16: M_tot 0.0 μB/cell. Number 17: M_tot 0.0 μB/cell. Number 18: M_tot 7.7 μB/cell. Number 19: M_tot 0.0 μB/cell. Number 20: M_tot 0.0 μB/cell.